Computed, not measured: InCuAu2 after structural relaxation at the GGA-PBEsol level of DFT.

abc: 4.549 4.549 4.549
angles: 60.00 60.00 60.00
Fractional coordinates of all 4 atoms:
Cu (0.500, 0.500, 0.500)
Au (0.250, 0.250, 0.250)
Au (0.000, 0.000, 0.000)
In (0.750, 0.750, 0.750)

Summary:
- Energy of formation from the pure elements: -0.05 eV/atom
- Raw total energy: -3.843 eV per atom


Computed, not measured: InCu4Au after structural relaxation at the GGA-PBEsol level of DFT.

abc: 4.890 4.890 4.890
angles: 60.00 60.00 60.00
Fractional coordinates of all 6 atoms:
In (0.250, 0.250, 0.250)
Cu (0.625, 0.125, 0.625)
Cu (0.125, 0.625, 0.625)
Cu (0.625, 0.625, 0.125)
Cu (0.625, 0.625, 0.625)
Au (0.000, 0.000, 0.000)

Summary:
- Energy of formation from the pure elements: -0.03 eV/atom
- Raw total energy: -4.068 eV per atom


Computed, not measured: CuIrAu2 after structural relaxation at the GGA-PBEsol level of DFT.

abc: 2.727 2.727 9.357
angles: 90.00 90.00 119.31
Fractional coordinates of all 4 atoms:
Ir (0.500, 0.500, 0.269)
Au (0.000, 0.000, 0.005)
Au (0.500, 0.500, 0.732)
Cu (0.000, 0.000, 0.494)

Summary:
- Energy of formation from the pure elements: 0.20 eV/atom
- ΔE to the lowest computed polymorph: 0 meV/atom
- Raw total energy: -5.297 eV per atom